Run A
Compound: MgSc3
Source: the Alexandria database
Functional: PBE
Structure: optimized geometry

Theoretical density ... 2.729 g/cm³

a = 10.800 Å, b = 10.800 Å, c = 10.800 Å
α = 17.27°, β = 17.27°, γ = 17.27°
Fractional positions:
Mg1 0.000 0.000 0.000
Sc1 0.249 0.249 0.249
Sc2 0.500 0.500 0.500
Sc3 0.751 0.751 0.751

=====

Run B
Compound: MgSc3
Source: the Alexandria database
Functional: PBE
Structure: optimized geometry

Theoretical density ... 2.742 g/cm³

a = 5.648 Å, b = 10.618 Å, c = 6.430 Å
α = 90.00°, β = 90.00°, γ = 90.00°
Fractional positions:
Mg1 0.085 0.250 0.125
Mg2 0.415 0.750 0.625
Mg3 0.585 0.250 0.375
Mg4 0.915 0.750 0.875
Sc1 0.086 0.250 0.624
Sc2 0.244 0.009 0.880
Sc3 0.244 0.491 0.880
Sc4 0.256 0.509 0.380
Sc5 0.256 0.991 0.380
Sc6 0.414 0.750 0.124
Sc7 0.586 0.250 0.876
Sc8 0.744 0.009 0.620
Sc9 0.744 0.491 0.620
Sc10 0.756 0.509 0.120
Sc11 0.756 0.991 0.120
Sc12 0.914 0.750 0.376

=====

Which structure is most stable? run A, by 0.021 eV/atom over the runner-up.